# 1
The following is a GGA-PBEsol calculation of a relaxed ZrMnPb crystal, from Alexandria via LeMat-Bulk.

Calculated values
Calculated volume, A^3/atom: 19.39
Formation energy from the elements, kcal/mol of atoms: 3.9
Size of the total moment, μB per cell: 2.5
Electronic total energy, eV/atom: -7.447

a b c (Å): 3.3802 3.3802 5.6232
angles (deg): 107.49 107.49 90.00
Each line ends with the local moment (μB).
Atoms (fractional coordinates):
Mn 0.0046 0.0046 0.0093  2.82
Zr 0.6487 0.6487 0.2973  -0.27
Pb 0.3467 0.3467 0.6934  -0.02

# 2
The following is a GGA-PBEsol calculation of a relaxed MnPd3 crystal, from Alexandria via LeMat-Bulk.

Calculated values
Calculated volume, A^3/atom: 14.33
Formation energy from the elements, kcal/mol of atoms: -3.3
Size of the total moment, μB per cell: 9.4
Electronic total energy, eV/atom: -7.051

a b c (Å): 4.4427 5.4587 5.4587
angles (deg): 120.00 90.00 90.00
Each line ends with the local moment (μB).
Atoms (fractional coordinates):
Mn 0.7500 0.3333 0.6667  3.85
Mn 0.2500 0.6667 0.3333  3.85
Pd 0.2500 0.1675 0.8325  0.22
Pd 0.7500 0.8325 0.1675  0.22
Pd 0.7500 0.3350 0.1675  0.22
Pd 0.2500 0.6650 0.8325  0.22
Pd 0.2500 0.1675 0.3350  0.22
Pd 0.7500 0.8325 0.6650  0.22

# 3
The following is a GGA-PBEsol calculation of a relaxed MnPd3 crystal, from Alexandria via LeMat-Bulk.

Calculated values
Calculated volume, A^3/atom: 14.37
Formation energy from the elements, kcal/mol of atoms: -3.0
Size of the total moment, μB per cell: 4.6
Electronic total energy, eV/atom: -7.038

a b c (Å): 3.8794 3.8794 4.7033
angles (deg): 114.36 114.36 90.00
Each line ends with the local moment (μB).
Atoms (fractional coordinates):
Pd 0.7500 0.2500 0.5000  0.18
Mn 0.0000 0.0000 0.0000  3.88
Pd 0.5000 0.5000 0.0000  0.20
Pd 0.2500 0.7500 0.5000  0.18

# 4
The following is a GGA-PBEsol calculation of a relaxed MnPd3 crystal, from Alexandria via LeMat-Bulk.

Calculated values
Calculated volume, A^3/atom: 14.31
Formation energy from the elements, kcal/mol of atoms: -0.3
Size of the total moment, μB per cell: 4.2
Electronic total energy, eV/atom: -6.922

a b c (Å): 2.7633 2.7633 8.8015
angles (deg): 80.97 80.97 60.00
Each line ends with the local moment (μB).
Atoms (fractional coordinates):
Pd 0.5000 0.5000 0.5000  0.01
Pd 0.2544 0.2544 0.2367  0.23
Pd 0.7456 0.7456 0.7633  0.23
Mn 0.0000 0.0000 0.0000  3.59

# 5
The following is a GGA-PBEsol calculation of a relaxed MnPd crystal, from Alexandria via LeMat-Bulk.

Calculated values
Calculated volume, A^3/atom: 14.39
Formation energy from the elements, kcal/mol of atoms: -1.1
Size of the total moment, μB per cell: 4.4
Electronic total energy, eV/atom: -7.907

a b c (Å): 2.9603 2.9603 3.2842
angles (deg): 90.00 90.00 90.00
Each line ends with the local moment (μB).
Atoms (fractional coordinates):
Pd 0.0000 0.0000 0.0000  0.35
Mn 0.5000 0.5000 0.5000  3.87

# 6
The following is a GGA-PBEsol calculation of a relaxed Mn11Pd21 crystal, from Alexandria via LeMat-Bulk.

Calculated values
Calculated volume, A^3/atom: 14.32
Formation energy from the elements, kcal/mol of atoms: -3.1
Size of the total moment, μB per cell: 49.2
Electronic total energy, eV/atom: -7.400

a b c (Å): 7.3672 7.8869 7.8869
angles (deg): 90.00 90.00 90.00
Each line ends with the local moment (μB).
Atoms (fractional coordinates):
Pd 0.0000 0.0000 0.0000  0.18
Pd 0.7412 0.0000 0.7470  0.24
Pd 0.7540 0.2508 0.5000  0.26
Pd 0.7412 0.2530 0.0000  0.24
Mn 0.5000 0.7469 0.7469  3.81
Pd 0.2588 0.2530 0.0000  0.24
Mn 0.0000 0.2407 0.2407  3.84
Pd 0.0000 0.0000 0.5000  0.19
Pd 0.2588 0.0000 0.2530  0.24
Mn 0.0000 0.2407 0.7593  3.84
Mn 0.5000 0.2531 0.2531  3.81
Pd 0.2588 0.0000 0.7470  0.24
Pd 0.2460 0.2508 0.5000  0.26
Mn 0.0000 0.7593 0.2407  3.84
Pd 0.7540 0.7492 0.5000  0.26
Pd 0.2460 0.5000 0.2508  0.26
Mn 0.5000 0.5000 0.0000  3.88
Pd 0.5000 0.5000 0.5000  0.23
Pd 0.2588 0.7470 0.0000  0.24
Pd 0.7412 0.7470 0.0000  0.24
Pd 0.2460 0.7492 0.5000  0.26
Pd 0.0000 0.5000 0.0000  0.19
Mn 0.0000 0.5000 0.5000  3.96
Mn 0.5000 0.0000 0.5000  3.88
Pd 0.7540 0.5000 0.7492  0.26
Mn 0.5000 0.2531 0.7469  3.81
Mn 0.5000 0.7469 0.2531  3.81
Mn 0.0000 0.7593 0.7593  3.84
Pd 0.7412 0.0000 0.2530  0.24
Pd 0.7540 0.5000 0.2508  0.26
Pd 0.5000 0.0000 0.0000  0.14
Pd 0.2460 0.5000 0.7492  0.26

# 7
The following is a GGA-PBEsol calculation of a relaxed Mn3Pd5 crystal, from Alexandria via LeMat-Bulk.

Calculated values
Calculated volume, A^3/atom: 14.31
Formation energy from the elements, kcal/mol of atoms: -3.3
Size of the total moment, μB per cell: 13.5
Electronic total energy, eV/atom: -7.528

a b c (Å): 4.0096 5.3600 5.3600
angles (deg): 96.24 90.00 90.00
Each line ends with the local moment (μB).
Atoms (fractional coordinates):
Mn 0.5000 0.2747 0.7253  3.85
Mn 0.0000 0.0000 0.0000  3.88
Pd 0.0000 0.0000 0.5000  0.29
Pd 0.0000 0.5000 0.5000  0.24
Pd 0.5000 0.7753 0.7753  0.29
Pd 0.0000 0.5000 0.0000  0.29
Pd 0.5000 0.2247 0.2247  0.29
Mn 0.5000 0.7253 0.2747  3.85

# 8
The following is a GGA-PBEsol calculation of a relaxed MnPdPt3 crystal, from Alexandria via LeMat-Bulk.

Calculated values
Calculated volume, A^3/atom: 21.24
Formation energy from the elements, kcal/mol of atoms: 35.9
Size of the total moment, μB per cell: 5.2
Electronic total energy, eV/atom: -5.767

a b c (Å): 4.7357 4.7357 4.7357
angles (deg): 90.00 90.00 90.00
Each line ends with the local moment (μB).
Atoms (fractional coordinates):
Pt 0.0000 0.0000 0.5000  0.09
Mn 0.5000 0.5000 0.5000  4.44
Pd 0.0000 0.0000 0.0000  0.15
Pt 0.0000 0.5000 0.0000  0.09
Pt 0.5000 0.0000 0.0000  0.09

Which value of electronic total energy does entry 5 give? -7.907 eV/atom